Run a
Tc3TeS: PBEsol geometry, SCAN.

Cell and atoms, written as CIF:
```
data_Tc3TeS
_chemical_formula_sum 'Tc3 Te1 S1'
_cell_length_a 4.374
_cell_length_b 4.374
_cell_length_c 4.374
_cell_angle_alpha 90.00
_cell_angle_beta 90.00
_cell_angle_gamma 90.00
_symmetry_space_group_name_H-M 'P m -3 m'
_symmetry_Int_Tables_number 221
_symmetry_space_group_name_Hall '-P 4 2 3'
loop_
_atom_site_label
_atom_site_type_symbol
_atom_site_fract_x
_atom_site_fract_y
_atom_site_fract_z
_atom_site_occupancy
Tc1 Tc 0.000 0.000 0.500 1
Te1 Te 0.500 0.500 0.500 1
S1 S 0.000 0.000 0.000 1
```

Calculated volume: 84 Å³ per cell
Magnetic moment: 0.65 μB per formula unit
Crystal system: cubic

***

Run b
Tc3TeS: PBEsol geometry, SCAN.

Cell and atoms, written as CIF:
```
data_Tc3TeS
_chemical_formula_sum 'Tc3 Te1 S1'
_cell_length_a 4.793
_cell_length_b 4.793
_cell_length_c 4.793
_cell_angle_alpha 90.00
_cell_angle_beta 90.00
_cell_angle_gamma 90.00
_symmetry_space_group_name_H-M 'P m -3 m'
_symmetry_Int_Tables_number 221
_symmetry_space_group_name_Hall '-P 4 2 3'
loop_
_atom_site_label
_atom_site_type_symbol
_atom_site_fract_x
_atom_site_fract_y
_atom_site_fract_z
_atom_site_occupancy
Tc1 Tc 0.000 0.000 0.500 1
Te1 Te 0.000 0.000 0.000 1
S1 S 0.500 0.500 0.500 1
```

Calculated volume: 110 Å³ per cell
Magnetic moment: 7.24 μB per formula unit
Crystal system: cubic

***

Out of the structures above, which one is the least stable? Solution: run b.